(1)
Density functional theory data (GGA-PBE) for an optimized crystal structure of SrY4Hg5.

Computed properties:
ΔE_f: -514 meV/atom
Fermi-level density of states: 7.3 states/eV/f.u.
Total DFT energy (no corrections): -3.42 eV per atom
Crystal system: tetragonal
Mass density: 8.9 g/cm³

Cell: 3.7712 3.7712 18.9560 Å, 90.00 90.00 90.00°
Space group P4/mmm (No. 123)
Unique sites:
Sr  0.0000  0.0000  0.0000 (multiplicity 1)
Y  0.0000  0.0000  0.2081 (multiplicity 2)
Y  0.0000  0.0000  0.4029 (multiplicity 2)
Hg  0.5000  0.5000  0.1171 (multiplicity 2)
Hg  0.5000  0.5000  0.3056 (multiplicity 2)
Hg  0.5000  0.5000  0.5000 (multiplicity 1)



(2)
Density functional theory data (GGA-PBE) for an optimized crystal structure of SrY2Hg.

Computed properties:
ΔE_f: -124 meV/atom
Fermi-level density of states: 6.2 states/eV/f.u.
Total DFT energy (no corrections): -3.85 eV per atom
Crystal system: tetragonal
Mass density: 5.7 g/cm³

Cell: 3.7819 3.7819 9.5368 Å, 90.00 90.00 90.00°
Space group P4/mmm (No. 123)
Unique sites:
Sr  0.0000  0.0000  0.0000 (multiplicity 1)
Y  0.5000  0.5000  0.3152 (multiplicity 2)
Hg  0.0000  0.0000  0.5000 (multiplicity 1)



(3)
Density functional theory data (GGA-PBE) for an optimized crystal structure of SrY2Hg.

Computed properties:
ΔE_f: -57 meV/atom
Fermi-level density of states: 4.5 states/eV/f.u.
Total DFT energy (no corrections): -3.78 eV per atom
Crystal system: monoclinic
Mass density: 5.8 g/cm³

Cell: 3.8889 5.2797 6.7615 Å, 90.00 106.16 90.00°
Space group P2/m (No. 10)
Unique sites:
Sr  0.0000  0.0000  0.0000 (multiplicity 1)
Y  0.3467  0.5000  0.7136 (multiplicity 2)
Hg  0.5000  0.0000  0.5000 (multiplicity 1)



(4)
Density functional theory data (GGA-PBE) for an optimized crystal structure of SrYHg2.

Computed properties:
ΔE_f: -490 meV/atom
Fermi-level density of states: 2.1 states/eV/f.u.
Total DFT energy (no corrections): -2.68 eV per atom
Crystal system: tetragonal
Mass density: 8.4 g/cm³

Cell: 5.4537 5.4537 3.8238 Å, 90.00 90.00 90.00°
Space group P4/mmm (No. 123)
Unique sites:
Sr  0.0000  0.0000  0.0000 (multiplicity 1)
Y  0.5000  0.5000  0.0000 (multiplicity 1)
Hg  0.0000  0.5000  0.5000 (multiplicity 2)



(5)
Density functional theory data (GGA-PBE) for an optimized crystal structure of SrY3Hg6.

Computed properties:
ΔE_f: -442 meV/atom
Fermi-level density of states: 6.2 states/eV/f.u.
Total DFT energy (no corrections): -2.73 eV per atom
Crystal system: monoclinic
Mass density: 9.7 g/cm³

Cell: 9.3068 5.2464 11.3629 Å, 90.00 106.83 90.00°
Space group P2_1/m (No. 11)
Unique sites:
Sr  0.0620  0.2500  0.3884 (multiplicity 2)
Y  0.2291  0.2500  0.0052 (multiplicity 2)
Y  0.3570  0.7500  0.8092 (multiplicity 2)
Y  0.4853  0.2500  0.6150 (multiplicity 2)
Hg  0.0649  0.7500  0.9082 (multiplicity 2)
Hg  0.1468  0.7500  0.2055 (multiplicity 2)
Hg  0.1849  0.2500  0.7028 (multiplicity 2)
Hg  0.2705  0.7500  0.5256 (multiplicity 2)
Hg  0.3580  0.2500  0.2912 (multiplicity 2)
Hg  0.4585  0.7500  0.0927 (multiplicity 2)



(6)
Density functional theory data (GGA-PBE) for an optimized crystal structure of Sr2YHg.

Computed properties:
ΔE_f: 53 meV/atom
Fermi-level density of states: 7.0 states/eV/f.u.
Total DFT energy (no corrections): -2.48 eV per atom
Crystal system: tetragonal
Mass density: 5.4 g/cm³

Cell: 5.1958 5.1958 10.5663 Å, 90.00 90.00 90.00°
Space group I-4m2 (No. 119)
Unique sites:
Sr  0.0000  0.0000  0.0000 (multiplicity 2)
Sr  0.0000  0.5000  0.2500 (multiplicity 2)
Y  0.0000  0.5000  0.7500 (multiplicity 2)
Hg  0.0000  0.0000  0.5000 (multiplicity 2)



(7)
Density functional theory data (GGA-PBE) for an optimized crystal structure of SrY2Hg.

Computed properties:
ΔE_f: -66 meV/atom
Fermi-level density of states: 5.1 states/eV/f.u.
Total DFT energy (no corrections): -3.79 eV per atom
Crystal system: trigonal
Mass density: 5.6 g/cm³

Cell: 3.7913 3.7913 33.2632 Å, 90.00 90.00 120.00°
Space group R-3m (No. 166, hexagonal axes)
Unique sites:
Sr  0.0000  0.0000  0.0000 (multiplicity 3)
Y  0.0000  0.0000  0.2345 (multiplicity 6)
Hg  0.0000  0.0000  0.5000 (multiplicity 3)



(8)
Density functional theory data (GGA-PBE) for an optimized crystal structure of SrY2Hg.

Computed properties:
ΔE_f: 39 meV/atom
Fermi-level density of states: 5.3 states/eV/f.u.
Total DFT energy (no corrections): -3.69 eV per atom
Crystal system: tetragonal
Mass density: 6.2 g/cm³

Cell: 5.0141 5.0141 9.8604 Å, 90.00 90.00 90.00°
Space group I4/mmm (No. 139)
Unique sites:
Sr  0.0000  0.0000  0.0000 (multiplicity 2)
Y  0.0000  0.5000  0.2500 (multiplicity 4)
Hg  0.0000  0.0000  0.5000 (multiplicity 2)



What did the third record say?
Density functional theory data (GGA-PBE) for an optimized crystal structure of SrY2Hg.

Computed properties:
ΔE_f: -57 meV/atom
Fermi-level density of states: 4.5 states/eV/f.u.
Total DFT energy (no corrections): -3.78 eV per atom
Crystal system: monoclinic
Mass density: 5.8 g/cm³

Cell: 3.8889 5.2797 6.7615 Å, 90.00 106.16 90.00°
Space group P2/m (No. 10)
Unique sites:
Sr  0.0000  0.0000  0.0000 (multiplicity 1)
Y  0.3467  0.5000  0.7136 (multiplicity 2)
Hg  0.5000  0.0000  0.5000 (multiplicity 1)



What is the ΔE_f in the third record? -57 meV/atom



Among the records above, which one has the lowest Fermi-level density of states? SrYHg2